1.
DFT (PBE) results for Nd12Si6Pb after structural relaxation.

**Theoretical density**: 6.40 g/cm3
**Symmetry**: No. 204
**Electronic total energy**: -0.4014 Ry per atom
**ΔE_f (raw)**: -543 meV per atom

a b c (Å): 8.9231 8.9231 8.9231
angles (deg): 109.47 109.47 109.47
Fractional positions:
Nd (0.7018, 0.5130, 0.8112)
Nd (0.2982, 0.1095, 0.8112)
Nd (0.8905, 0.1888, 0.7018)
Nd (0.1888, 0.7018, 0.8905)
Nd (0.5130, 0.8112, 0.7018)
Nd (0.1095, 0.8112, 0.2982)
Nd (0.1888, 0.2982, 0.4870)
Nd (0.7018, 0.8905, 0.1888)
Nd (0.8112, 0.7018, 0.5130)
Nd (0.8112, 0.2982, 0.1095)
Nd (0.4870, 0.1888, 0.2982)
Nd (0.2982, 0.4870, 0.1888)
Si (0.5000, 0.8864, 0.3864)
Si (0.3864, 0.5000, 0.8864)
Si (0.5000, 0.1136, 0.6136)
Si (0.1136, 0.6136, 0.5000)
Si (0.6136, 0.5000, 0.1136)
Si (0.8864, 0.3864, 0.5000)
Pb (0.0000, 0.0000, 0.0000)


2.
DFT (PBE) results for MgTeMoPb2 after structural relaxation.

**Theoretical density**: 7.23 g/cm3
**Symmetry**: No. 123
**Electronic total energy**: -0.2622 Ry per atom
**ΔE_f (raw)**: 1029 meV per atom

a b c (Å): 5.4002 5.2141 5.4002
angles (deg): 90.00 90.00 90.00
Site moments in Bohr magnetons follow the coordinates.
Fractional positions:
Pb (0.0000, 0.0000, 0.5000)  -0.06
Pb (0.5000, 0.0000, 0.0000)  -0.06
Mo (0.0000, 0.5000, 0.0000)  2.79
Mg (0.0000, 0.0000, 0.0000)  -0.01
Te (0.5000, 0.5000, 0.5000)  -0.05


3.
DFT (PBE) results for Ga5Co4Au after structural relaxation.

**Theoretical density**: 9.93 g/cm3
**Symmetry**: No. 123
**Electronic total energy**: -0.3603 Ry per atom
**ΔE_f**: -2.18 eV/f.u.

a b c (Å): 2.8263 2.8263 16.3509
angles (deg): 90.00 90.00 90.00
Site moments in Bohr magnetons follow the coordinates.
Fractional positions:
Co (0.0000, 0.0000, 0.5910)  0.00
Co (0.0000, 0.0000, 0.2247)  0.22
Co (0.0000, 0.0000, 0.4090)  0.00
Co (0.0000, 0.0000, 0.7753)  0.22
Ga (0.5000, 0.5000, 0.3174)  -0.01
Ga (0.5000, 0.5000, 0.6826)  -0.01
Ga (0.5000, 0.5000, 0.5000)  0.00
Ga (0.5000, 0.5000, 0.8663)  0.00
Ga (0.5000, 0.5000, 0.1337)  0.00
Au (0.0000, 0.0000, 0.0000)  0.01


4.
DFT (PBE) results for Tb7Nd12Sm2 after structural relaxation.

**Theoretical density**: 7.29 g/cm3
**Symmetry**: No. 174
**Electronic total energy**: -0.3436 Ry per atom
**ΔE_f**: 0.89 eV/f.u.

a b c (Å): 3.5984 15.1647 15.1647
angles (deg): 120.00 90.00 90.00
Fractional positions:
Nd (0.0000, 0.5155, 0.9191)
Nd (0.0000, 0.2516, 0.0454)
Nd (0.5000, 0.5692, 0.7309)
Nd (0.0000, 0.4035, 0.4845)
Nd (0.5000, 0.7181, 0.1307)
Nd (0.5000, 0.2691, 0.8383)
Nd (0.5000, 0.8693, 0.5874)
Nd (0.0000, 0.9546, 0.2062)
Nd (0.5000, 0.4126, 0.2819)
Nd (0.0000, 0.7938, 0.7484)
Nd (0.0000, 0.0809, 0.5965)
Nd (0.5000, 0.1617, 0.4308)
Tb (0.0000, 0.3333, 0.6667)
Tb (0.5000, 0.4802, 0.1016)
Tb (0.0000, 0.1878, 0.2342)
Tb (0.0000, 0.0463, 0.8122)
Tb (0.5000, 0.8984, 0.3786)
Tb (0.0000, 0.7658, 0.9537)
Tb (0.5000, 0.6214, 0.5198)
Sm (0.0000, 0.6667, 0.3333)
Sm (0.5000, 0.0000, 0.0000)


5.
DFT (PBE) results for Cs2K3Na after structural relaxation.

**Polymorph energy (0 for the lowest one)**: 0 meV per atom
**Theoretical density**: 1.43 g/cm3
**Symmetry**: No. 12
**Electronic total energy**: -0.0769 Ry per atom
**ΔE_f**: 0.04 eV/f.u.

a b c (Å): 8.8566 8.8566 8.5925
angles (deg): 90.51 120.53 119.89
Fractional positions:
K (0.5000, 0.5000, 0.5000)
K (0.0000, 0.0000, 0.5000)
K (0.5000, 0.0000, 0.5000)
Cs (0.7477, 0.3730, 0.1208)
Cs (0.2523, 0.6270, 0.8792)
Na (0.0000, 0.0000, 0.0000)


6.
DFT (PBE) results for MgCoPt2 after structural relaxation.

**Theoretical density**: 13.31 g/cm3
**Symmetry**: No. 8
**Electronic total energy**: -0.4087 Ry per atom
**ΔE_f**: -1.46 eV/f.u.

a b c (Å): 4.8074 4.8074 4.6633
angles (deg): 80.08 80.08 33.85
Site moments in Bohr magnetons follow the coordinates.
Fractional positions:
Co (0.4923, 0.4923, 0.5353)  1.85
Mg (0.2525, 0.2525, 0.2263)  -0.01
Pt (0.7529, 0.7529, 0.7128)  0.20
Pt (0.0023, 0.0023, 0.0256)  0.16